Record 1
Here is a relaxed Li2IrPt crystal from Alexandria via LeMat-Bulk. Energies are from PBE.

Computed properties:
**ΔH_f (0 K)**: -0.195 eV per atom
**SG**: No. 123

Unit cell a=4.0659 b=3.7207 c=3.7207 alpha=90.00 beta=90.00 gamma=90.00
With the nearest neighbours (Å) after each atom.
Fractional coordinates of all 4 atoms:
1 Ir 0.5000 0.0000 0.5000  4 Pt 2.63, 8 Li 2.76
2 Li 0.0000 0.0000 0.0000  4 Li 2.63, 4 Ir 2.76, 4 Pt 2.76
3 Li 0.0000 0.5000 0.5000  4 Li 2.63, 4 Ir 2.76, 4 Pt 2.76
4 Pt 0.5000 0.5000 0.0000  4 Ir 2.63, 8 Li 2.76

=====

Record 2
Here is a relaxed LiIr2Pt2 crystal from Alexandria via LeMat-Bulk. Energies are from PBE.

Computed properties:
**ΔH_f (0 K)**: 0.097 eV per atom
**SG**: No. 127

Unit cell a=7.7900 b=7.7900 c=2.7147 alpha=90.00 beta=90.00 gamma=90.00
With the nearest neighbours (Å) after each atom.
Fractional coordinates of all 10 atoms:
1 Ir 0.1759 0.6759 0.5000  6 Pt 2.58-2.73, 2 Ir 2.71
2 Ir 0.6759 0.8241 0.5000  6 Pt 2.58-2.73, 2 Ir 2.71
3 Ir 0.8241 0.3241 0.5000  6 Pt 2.58-2.73, 2 Ir 2.71
4 Ir 0.3241 0.1759 0.5000  6 Pt 2.58-2.73, 2 Ir 2.71
5 Pt 0.3755 0.8755 0.0000  6 Ir 2.58-2.73, 3 Pt 2.71-2.74
6 Pt 0.8755 0.6245 0.0000  6 Ir 2.58-2.73, 3 Pt 2.71-2.74
7 Pt 0.6245 0.1245 0.0000  6 Ir 2.58-2.73, 3 Pt 2.71-2.74
8 Pt 0.1245 0.3755 0.0000  6 Ir 2.58-2.73, 3 Pt 2.71-2.74
9 Li 0.0000 0.0000 0.0000  2 Li 2.71
10 Li 0.5000 0.5000 0.0000  2 Li 2.71

=====

Record 3
Here is a relaxed Li2IrPt2 crystal from Alexandria via LeMat-Bulk. Energies are from PBE.

Computed properties:
**ΔH_f (0 K)**: -0.108 eV per atom
**SG**: No. 127

Unit cell a=7.0667 b=7.0667 c=2.7601 alpha=90.00 beta=90.00 gamma=90.00
With the nearest neighbours (Å) after each atom.
Fractional coordinates of all 10 atoms:
1 Ir 0.0000 0.0000 0.0000  4 Pt 2.73, 2 Ir 2.76, 8 Li 2.99
2 Ir 0.5000 0.5000 0.0000  4 Pt 2.73, 2 Ir 2.76, 8 Li 2.99
3 Pt 0.3591 0.8591 0.0000  6 Li 2.42-2.54
4 Pt 0.8591 0.6409 0.0000  6 Li 2.42-2.54
5 Pt 0.6409 0.1409 0.0000  6 Li 2.42-2.54
6 Pt 0.1409 0.3591 0.0000  6 Li 2.42-2.54
7 Li 0.1597 0.6597 0.5000  6 Pt 2.42-2.54
8 Li 0.6597 0.8403 0.5000  6 Pt 2.42-2.54
9 Li 0.8403 0.3403 0.5000  6 Pt 2.42-2.54
10 Li 0.3403 0.1597 0.5000  6 Pt 2.42-2.54

=====

Record 4
Here is a relaxed LiIr2Pt crystal from Alexandria via LeMat-Bulk. Energies are from PBE.

Computed properties:
**ΔH_f (0 K)**: -0.100 eV per atom
**SG**: No. 99

Unit cell a=2.7376 b=2.7376 c=7.7201 alpha=90.00 beta=90.00 gamma=90.00
With the nearest neighbours (Å) after each atom.
Fractional coordinates of all 4 atoms:
1 Ir 0.0000 0.0000 0.0085  8 Ir 2.65-2.74, 4 Pt 2.80
2 Ir 0.5000 0.5000 0.2431  8 Ir 2.65-2.74, 4 Li 2.78
3 Li 0.0000 0.0000 0.5011  4 Pt 2.71, 4 Li 2.74, 4 Ir 2.78
4 Pt 0.5000 0.5000 0.7473  4 Li 2.71, 4 Pt 2.74, 4 Ir 2.80

=====

Record 5
Here is a relaxed LiIrPt2 crystal from Alexandria via LeMat-Bulk. Energies are from PBE.

Computed properties:
**ΔH_f (0 K)**: -0.243 eV per atom
**SG**: No. 123

Unit cell a=3.8720 b=3.8728 c=3.8248 alpha=90.00 beta=90.00 gamma=90.00
With the nearest neighbours (Å) after each atom.
Fractional coordinates of all 4 atoms:
1 Ir 0.5000 0.0000 0.5000  8 Pt 2.72, 4 Li 2.74
2 Li 0.0000 0.5000 0.5000  8 Pt 2.72, 4 Ir 2.74
3 Pt 0.0000 0.0000 0.0000  4 Ir 2.72, 4 Li 2.72, 4 Pt 2.74
4 Pt 0.5000 0.5000 0.0000  4 Li 2.72, 4 Ir 2.72, 4 Pt 2.74

=====

Record 6
Here is a relaxed LiIrPt2 crystal from Alexandria via LeMat-Bulk. Energies are from PBE.

Computed properties:
**ΔH_f (0 K)**: -0.051 eV per atom
**SG**: No. 35

Unit cell a=2.7062 b=2.7062 c=9.3579 alpha=90.00 beta=90.00 gamma=119.30
With the nearest neighbours (Å) after each atom.
Fractional coordinates of all 4 atoms:
1 Ir 0.0000 0.0000 0.5104  2 Li 2.63, 6 Ir 2.71-2.73, 2 Pt 2.76
2 Li 0.5000 0.5000 0.7499  2 Pt 2.59, 2 Ir 2.63, 6 Li 2.71-2.73
3 Pt 0.0000 0.0000 0.9853  2 Li 2.59, 8 Pt 2.71-2.86
4 Pt 0.5000 0.5000 0.2544  8 Pt 2.71-2.86, 2 Ir 2.76

=====

no.,total magnetic moment (μB per atom),ρ (g/cm³),energy relative to the lowest polymorph listed for this composition (eV per atom)
1,0.0000,11.836,0.2413
2,0.0000,15.756,0.0797
3,0.0000,14.367,0.1512
4,0.0000,16.831,0.0696
5,0.0000,17.062,0.1267
6,0.0020,16.374,0.3185